Material: TbSi2
Method: DFT, GGA-PBEsol
State: optimized geometry

It has space group P6/mmm (No. 191), with a = 4.0795 Å, b = 4.0795 Å, c = 3.8696 Å, α = 90.00°, β = 90.00° and γ = 120.00°. Symmetry generates all atoms from Tb at (0.0000, 0.0000, 0.0000) and Si at (0.3333, 0.6667, 0.5000).

The calculation puts the theoretical density at 6.404 g/cm³. The formation energy (no corrections) is -1.86 eV per formula unit.